Record 1
VASP calculation (GGA-PBE) on a relaxed TaBMo crystal.

## Properties
* excess energy over the best structure of this formula in the dataset: 132 meV/atom
* spin magnetization: 0.00 μB per formula unit
* density: 9.5 g/cm3
* volume: 50.3 Å³/f.u.
* uncorrected energy: -8.356 eV/atom

POSCAR file:
```
TaBMo
1.0
0.000 2.930 2.930
2.930 0.000 2.930
2.930 2.930 0.000
B Mo Ta
1 1 1
Direct
0.250 0.250 0.250
0.750 0.750 0.750
0.000 0.000 0.000
```

***

Record 2
VASP calculation (GGA-PBE) on a relaxed Pa5C4N crystal.

## Properties
* spin magnetization: 0.00 μB per formula unit
* density: 12.6 g/cm3
* volume: 160.9 Å³/f.u.
* uncorrected energy: -9.968 eV/atom

POSCAR file:
```
Pa5C4N
1.0
1.788 1.033 14.521
-1.788 1.033 14.521
0.000 -2.065 14.521
C N Pa
4 1 5
Direct
0.102 0.102 0.102
0.300 0.300 0.300
0.700 0.700 0.700
0.898 0.898 0.898
0.500 0.500 0.500
0.000 0.000 0.000
0.199 0.199 0.199
0.401 0.401 0.401
0.599 0.599 0.599
0.801 0.801 0.801
```

***

Record 3
VASP calculation (GGA-PBE) on a relaxed Na4AgSn2Au crystal.

## Properties
* density: 6.1 g/cm3
* volume: 173.8 Å³/f.u.
* uncorrected energy: -2.628 eV/atom

POSCAR file:
```
Na4AgSn2Au
1.0
-3.923 -0.929 -2.914
0.673 -4.885 0.651
-4.212 0.169 5.618
Ag Au Na Sn
1 1 4 2
Direct
0.000 0.000 0.000
0.500 0.500 0.500
0.500 0.500 0.000
0.500 0.000 0.251
0.000 0.000 0.500
0.000 0.500 0.749
0.000 0.500 0.251
0.500 0.000 0.749
```